Ce2Nd2Tl3 | PBE-GGA | optimized geometry

Summary:
density of states at the Fermi level: 23.46 states/eV/cell
DFT formation energy: -249 meV/atom
energy above the lowest structure with this stoichiometry: 0 meV per atom

a = 4.459 Å, b = 25.108 Å, c = 3.571 Å
α = 90.00°, β = 90.00°, γ = 90.00°
Space group Cmmm (No. 65)
Unique sites:
1 Ce 0.000 0.216 0.000
2 Nd 0.000 0.074 0.000
3 Tl 0.000 0.352 0.500
4 Tl 0.000 0.500 0.500